Record 1
Computed, not measured: CsCaTeO4 after structural relaxation at the GGA-PBE level of DFT.

Lattice parameters (Å, degrees): 6.016 6.300 8.407 90.00 105.79 90.00
Positions (direct):
Cs1 0.106 0.250 0.140
Cs2 0.894 0.750 0.860
Ca1 0.178 0.750 0.471
Ca2 0.822 0.250 0.529
Te1 0.387 0.250 0.697
Te2 0.613 0.750 0.303
O1 0.167 0.018 0.666
O2 0.167 0.482 0.666
O3 0.272 0.750 0.208
O4 0.417 0.250 0.480
O5 0.583 0.750 0.520
O6 0.728 0.250 0.792
O7 0.833 0.518 0.334
O8 0.833 0.982 0.334

formation energy without anion corrections: -1.71 eV/atom
Fermi-level density of states: 0.2361 states/eV per atom
size of the total moment: 1.00 μB/f.u.
density: 3.9 Mg/m³



Record 2
Computed, not measured: Er4CdCu2Pt after structural relaxation at the GGA-PBE level of DFT.

Lattice parameters (Å, degrees): 8.648 8.648 8.648 33.36 33.36 33.36
Positions (direct):
Er1 0.119 0.119 0.119
Er2 0.370 0.370 0.370
Er3 0.630 0.630 0.630
Er4 0.881 0.881 0.881
Cd1 0.500 0.500 0.500
Cu1 0.241 0.241 0.241
Cu2 0.759 0.759 0.759
Pt1 0.000 0.000 0.000

energy of formation: -4.36 eV per formula unit
Fermi-level density of states: 0.4485 states/eV per atom
size of the total moment: 0.00 μB/f.u.
density: 10.5 Mg/m³